The following is a DFT calculation (GGA-PBE) of an optimized crystal structure of RbBTe2F.

Properties
Crystal system: tetragonal
DFT total energy in eV per atom: -2.15
Symmetry: P4/mmm (123)
Total moment in μB/cell: 2.89
Volume in Å³/cell: 215.3

Cell: 6.7125 6.7125 4.7786 Å, 90.00 90.00 90.00°
With the nearest neighbours (Å) after each atom.
Sites, in units of the cell vectors:
Rb  0.0000  0.0000  0.0000  2 F 2.39
B  0.5000  0.5000  0.5000  8 Te 4.12
Te  0.0000  0.5000  0.0000  2 Rb 3.36
Te  0.5000  0.0000  0.0000  2 Rb 3.36
F  0.0000  0.0000  0.5000  2 Rb 2.39